w | Density functional theory data (PBE-GGA) for NaSb3Au after structural relaxation.

extended XYZ file:
```
10
Lattice="6.312 -0.417 0.000 1.923 6.023 0.000 0.000 0.000 7.506" Properties=species:S:1:pos:R:3 pbc="T T T"
Sb 1.532 4.505 2.270
Sb 3.699 3.472 0.393
Sb 1.696 2.111 4.146
Sb 3.863 1.078 6.023
Sb 3.863 1.078 2.269
Sb 1.532 4.505 6.022
Au 6.011 5.044 0.393
Au 5.696 0.121 4.146
Na 4.759 4.192 4.146
Na 0.637 1.391 0.393
```

Its calculated density is 6.7 g/cm³.

=====

x | Density functional theory data (PBE-GGA) for NaSb3Au after structural relaxation.

extended XYZ file:
```
5
Lattice="-2.180 -3.036 -3.790 -2.192 -3.092 3.738 -4.333 3.091 0.016" Properties=species:S:1:pos:R:3 pbc="T T T"
Au -4.352 -1.518 -0.018
Sb -1.096 -1.546 1.869
Sb -1.090 -1.518 -1.895
Sb -2.166 1.546 0.008
Na 0.000 0.000 0.000
```

Its calculated density is 6.4 g/cm³.

=====

Stability summary: most stable w, least stable x.

=====

w | Density functional theory data (PBE-GGA) for NaSb2Au3 after structural relaxation.

extended XYZ file:
```
12
Lattice="-0.793 -4.468 0.753 4.843 2.842 7.908 -6.987 1.248 0.044" Properties=species:S:1:pos:R:3 pbc="T T T"
Au -1.993 -1.399 3.649
Au -0.944 1.020 5.056
Au -4.691 -1.090 2.638
Au -2.628 0.669 1.202
Au 1.753 0.712 6.067
Au -0.310 -1.048 7.503
Sb -3.436 1.268 3.901
Sb -1.044 1.549 8.085
Sb 0.498 -1.646 4.804
Sb -1.893 -1.927 0.620
Na 0.414 0.270 2.035
Na -3.351 -0.648 6.670
```

Its calculated density is 10.4 g/cm³.

=====

x | Density functional theory data (PBE-GGA) for NaSb2Au3 after structural relaxation.

extended XYZ file:
```
12
Lattice="-2.541 -4.268 0.327 1.138 -2.973 7.935 -5.444 0.840 6.557" Properties=species:S:1:pos:R:3 pbc="T T T"
Au -3.506 -6.023 7.829
Au -3.342 -0.378 6.989
Au -4.436 -2.830 4.385
Au -2.412 -3.571 10.434
Au -1.711 -4.407 4.967
Au -5.137 -1.994 9.852
Sb -5.015 -4.947 10.144
Sb -1.833 -1.454 4.674
Sb -5.476 -2.012 6.979
Sb -1.372 -4.389 7.840
Na -2.764 -3.994 2.182
Na -4.083 -2.408 12.637
```

Its calculated density is 10.3 g/cm³.

=====

Stability summary: most stable w, least stable x.

=====

w | Density functional theory data (PBE-GGA) for Na8Sb2Au after structural relaxation.

extended XYZ file:
```
11
Lattice="5.359 0.000 0.000 0.000 7.323 -0.230 -2.679 -3.418 7.944" Properties=species:S:1:pos:R:3 pbc="T T T"
Sb 2.679 0.158 5.049
Sb 0.000 3.748 2.665
Na 2.679 1.966 7.775
Na 0.000 -1.557 5.529
Na 2.679 5.463 2.185
Na 2.679 3.821 4.907
Na 0.000 0.084 2.807
Na 0.000 1.940 -0.061
Na 0.000 1.903 5.418
Na 2.679 2.002 2.296
Au 2.679 0.000 0.000
```

Its calculated density is 3.4 g/cm³.

=====

x | Density functional theory data (PBE-GGA) for Na8Sb2Au after structural relaxation.

extended XYZ file:
```
11
Lattice="5.013 0.058 -1.493 -0.981 6.903 -2.994 0.047 -0.162 9.254" Properties=species:S:1:pos:R:3 pbc="T T T"
Na 1.969 5.047 3.453
Na 4.876 0.157 3.862
Na 0.203 3.575 6.590
Na 4.246 3.051 1.872
Na 0.891 5.914 -0.108
Na 2.781 6.548 -2.892
Na 3.018 1.436 6.806
Na 1.169 2.422 0.677
Au -0.210 6.455 5.344
Sb 3.407 4.233 -0.892
Sb 2.129 1.956 3.890
```

Its calculated density is 3.3 g/cm³.

=====

Stability summary: most stable w, least stable x.

=====

w | Density functional theory data (PBE-GGA) for Na3Sb4Au4 after structural relaxation.

extended XYZ file:
```
11
Lattice="-2.920 -0.490 3.933 -3.230 -1.431 -2.576 7.436 -11.841 0.964" Properties=species:S:1:pos:R:3 pbc="T T T"
Au 3.902 -11.453 1.470
Au -2.615 -2.309 0.851
Au 0.021 -5.517 -0.672
Au 1.266 -8.245 2.993
Sb 2.119 -10.749 3.314
Sb -0.941 -7.224 1.482
Sb -0.832 -3.013 -0.993
Sb 2.227 -6.538 0.839
Na 0.000 0.000 0.000
Na -0.235 -3.840 2.428
Na 1.522 -9.922 -0.107
```

Its calculated density is 7.6 g/cm³.

=====

x | Density functional theory data (PBE-GGA) for Na3Sb4Au4 after structural relaxation.

extended XYZ file:
```
11
Lattice="4.584 0.000 -1.262 -0.826 6.678 -3.002 -0.008 -0.052 8.930" Properties=species:S:1:pos:R:3 pbc="T T T"
Sb 1.626 5.381 -3.050
Sb 2.132 1.297 -1.214
Sb 0.433 4.826 1.573
Sb 3.317 1.801 3.093
Na 3.287 5.813 2.984
Na -0.413 3.339 -1.501
Na 0.463 0.813 1.682
Au 2.350 5.744 -0.421
Au 2.671 3.152 0.744
Au 1.400 0.882 5.086
Au 1.080 3.474 3.921
```

Its calculated density is 8.2 g/cm³.

=====

Stability summary: most stable x, least stable w.

=====

w | Density functional theory data (PBE-GGA) for NaSb3Au3 after structural relaxation.

extended XYZ file:
```
14
Lattice="4.756 0.000 0.000 0.000 7.900 -4.510 0.000 -0.040 9.102" Properties=species:S:1:pos:R:3 pbc="T T T"
Au 1.189 3.096 2.527
Au 3.567 3.731 -1.420
Au 1.189 0.596 5.157
Au 3.567 7.265 -0.565
Au 1.189 4.129 6.013
Au 3.567 4.764 2.066
Sb 1.189 1.872 7.620
Sb 3.567 5.988 -3.028
Sb 3.567 2.244 0.919
Sb 1.189 0.325 2.399
Sb 1.189 5.616 3.674
Sb 3.567 7.536 2.193
Na 1.189 5.249 0.026
Na 3.567 2.611 4.567
```

Its calculated density is 9.5 g/cm³.

=====

x | Density functional theory data (PBE-GGA) for NaSb3Au3 after structural relaxation.

extended XYZ file:
```
14
Lattice="8.354 0.000 0.000 4.177 7.235 0.000 4.177 2.412 5.951" Properties=species:S:1:pos:R:3 pbc="T T T"
Sb 9.867 7.218 1.568
Sb 5.523 4.936 1.568
Sb 9.672 2.316 1.568
Sb 7.036 7.331 4.383
Sb 11.184 4.710 4.383
Sb 6.841 2.428 4.383
Na 4.177 2.412 0.006
Na 12.531 7.235 5.945
Au 9.817 7.153 4.470
Au 5.605 4.925 4.470
Au 6.891 2.493 1.481
Au 11.103 4.721 1.481
Au 7.068 7.255 1.481
Au 9.640 2.391 4.470
```

Its calculated density is 9.0 g/cm³.

=====

y | Density functional theory data (PBE-GGA) for NaSb3Au3 after structural relaxation.

extended XYZ file:
```
14
Lattice="7.652 0.000 0.000 0.000 7.652 0.000 0.000 0.000 7.652" Properties=species:S:1:pos:R:3 pbc="T T T"
Sb 5.739 0.000 3.826
Sb 0.000 3.826 5.739
Sb 0.000 3.826 1.913
Sb 3.826 1.913 0.000
Sb 3.826 5.739 0.000
Sb 1.913 0.000 3.826
Au 0.000 1.913 3.826
Au 3.826 0.000 5.739
Au 0.000 5.739 3.826
Au 3.826 0.000 1.913
Au 1.913 3.826 0.000
Au 5.739 3.826 0.000
Na 0.000 0.000 0.000
Na 3.826 3.826 3.826
```

Its calculated density is 7.3 g/cm³.

=====

Stability summary: most stable w, least stable y.

=====

w | Density functional theory data (PBE-GGA) for NaSbAu4 after structural relaxation.

extended XYZ file:
```
6
Lattice="-4.008 2.043 3.381 -5.141 -2.290 -0.027 -1.762 -3.012 4.415" Properties=species:S:1:pos:R:3 pbc="T T T"
Sb -2.728 -0.815 1.942
Au -4.246 -0.890 4.872
Au -6.822 -2.037 4.859
Au -4.813 -3.061 3.164
Au -5.939 -0.528 2.645
Na 0.000 0.000 0.000
```

Its calculated density is 12.3 g/cm³.

=====

x | Density functional theory data (PBE-GGA) for NaSbAu4 after structural relaxation.

extended XYZ file:
```
12
Lattice="5.127 1.467 0.021 1.867 7.675 1.468 -3.450 -2.285 6.689" Properties=species:S:1:pos:R:3 pbc="T T T"
Au 2.957 3.750 1.746
Au 2.203 2.078 4.195
Au 0.587 3.108 6.433
Au -0.043 5.807 6.479
Au 3.924 6.531 2.280
Au -0.381 0.327 5.899
Au 1.341 4.780 3.983
Au 3.586 1.051 1.699
Na 2.864 5.083 7.288
Na 0.680 1.775 0.891
Sb -0.792 2.695 4.079
Sb 0.838 -0.409 3.355
```

Its calculated density is 12.1 g/cm³.

=====

Stability summary: most stable w, least stable x.